No. 1
# RbGe5

RbGe5 after structural relaxation (PBE-GGA, Alexandria).

Results
Calculated volume: 23.730 Å³/atom
Calculated total energy: -3.686 eV/atom
Total moment: 0.00 μB/cell

Cell lengths 6.229, 6.229, 4.869 Å; angles 90.00, 90.00, 131.09 degrees
Fractional positions:
Rb (0.000, 0.000, 0.000)
Ge (0.207, 0.793, 0.500)
Ge (0.304, 0.696, 0.000)
Ge (0.500, 0.500, 0.500)
Ge (0.696, 0.304, 0.000)
Ge (0.793, 0.207, 0.500)

***

No. 2
# RbReGe3

RbReGe3 after structural relaxation (PBE-GGA, Alexandria).

Results
Calculated volume: 24.247 Å³/atom
Calculated total energy: -5.242 eV/atom
Total moment: 0.00 μB/cell

Cell lengths 4.949, 4.949, 4.949 Å; angles 90.00, 90.00, 90.00 degrees
Fractional positions:
Rb (0.000, 0.000, 0.000)
Re (0.500, 0.500, 0.500)
Ge (0.000, 0.500, 0.500)
Ge (0.500, 0.000, 0.500)
Ge (0.500, 0.500, 0.000)

***

No. 3
# Rb2ReGe

Rb2ReGe after structural relaxation (PBE-GGA, Alexandria).

Results
Calculated volume: 54.643 Å³/atom
Calculated total energy: -3.813 eV/atom
Total moment: 4.58 μB/cell

Cell lengths 9.864, 9.864, 9.864 Å; angles 93.35, 93.35, 152.00 degrees
Fractional positions:
Rb (0.375, 0.167, 0.292)
Rb (0.833, 0.125, 0.208)
Rb (0.875, 0.083, 0.708)
Rb (0.917, 0.625, 0.792)
Re (0.250, 0.750, 0.500)
Re (0.500, 0.500, 0.000)
Ge (0.000, 0.000, 0.000)
Ge (0.750, 0.250, 0.500)

***

- The highest total moment belongs to which entry?
  Rb2ReGe

***

Copy entry 1 word for word.
# RbGe5

RbGe5 after structural relaxation (PBE-GGA, Alexandria).

Results
Calculated volume: 23.730 Å³/atom
Calculated total energy: -3.686 eV/atom
Total moment: 0.00 μB/cell

Cell lengths 6.229, 6.229, 4.869 Å; angles 90.00, 90.00, 131.09 degrees
Fractional positions:
Rb (0.000, 0.000, 0.000)
Ge (0.207, 0.793, 0.500)
Ge (0.304, 0.696, 0.000)
Ge (0.500, 0.500, 0.500)
Ge (0.696, 0.304, 0.000)
Ge (0.793, 0.207, 0.500)